Entry 1:
KMn3Bi: relaxed, PBE.

Cell and atoms, written as POSCAR:
```
KMn3Bi
1.0
5.033 0.000 0.000
0.000 5.033 0.000
0.000 0.000 5.033
K Mn Bi
1 3 1
Cartesian
0.000 0.000 0.000
0.000 0.000 2.517
0.000 2.517 0.000
2.517 0.000 0.000
2.517 2.517 2.517
```

Values from the calculation:
Formation energy, meV/atom: 1913
Energy relative to the lowest polymorph listed for this composition, meV/atom: 816
Space-group type: Pm-3m



Entry 2:
Ti2Cu2Te7: relaxed, PBE.

Cell and atoms, written as POSCAR:
```
Ti2Cu2Te7
1.0
3.679 -6.192 0.000
3.679 6.192 0.000
-1.435 0.000 6.899
Ti Cu Te
2 2 7
Cartesian
3.679 3.778 0.000
3.679 -3.778 0.000
0.351 0.000 4.262
5.572 0.000 2.637
0.692 2.457 5.126
0.665 0.000 1.504
0.692 -2.457 5.126
2.962 0.000 3.450
5.231 2.457 1.773
5.258 0.000 5.395
5.231 -2.457 1.773
```

Values from the calculation:
Energy relative to the elements, uncorrected, eV/atom: -0.242
Space-group type: C2/m



Entry 3:
Li6TlBi5: relaxed, PBE.

Cell and atoms, written as POSCAR:
```
Li6TlBi5
1.0
5.340 0.000 0.000
0.000 6.756 0.000
-0.719 0.000 7.920
Li Tl Bi
6 1 5
Cartesian
0.000 1.607 0.000
0.000 5.149 0.000
1.315 1.660 5.210
1.315 5.096 5.210
3.306 1.660 2.709
3.306 5.096 2.709
2.670 3.378 0.000
0.601 3.378 2.559
0.654 0.000 2.622
2.670 0.000 0.000
3.968 0.000 5.297
4.021 3.378 5.361
```

Values from the calculation:
Formation energy, meV/atom: -368
Space-group type: P2/m



Entry 4:
NbAlNi2I: relaxed, PBE.

Cell and atoms, written as POSCAR:
```
NbAlNi2I
1.0
4.388 0.000 0.000
0.000 4.388 0.000
0.000 0.000 4.968
Nb Al Ni I
1 1 2 1
Cartesian
0.000 0.000 0.000
0.000 0.000 2.484
0.000 2.194 2.484
2.194 0.000 2.484
2.194 2.194 0.000
```

Values from the calculation:
Energy relative to the elements, uncorrected, eV/atom: 0.910
Space-group type: P4/mmm